A plane-wave DFT calculation with GGA+U was carried out for a relaxed Sr6Ca2Fe3Co5O24 crystal.

Computed properties:
DOS at the Fermi energy	12.74	states/eV per cell
SG	P2 (3)
magnetization	0.6914	μB/atom
electronic total energy	-0.4495	Ry/atom

CIF file:
```
data_Sr6Ca2Fe3Co5O24
_chemical_formula_sum 'Sr6 Ca2 Fe3 Co5 O24'
_space_group_name_H-M_alt 'P 1'
_space_group_IT_number 1
_cell_length_a 7.739
_cell_length_b 7.764
_cell_length_c 7.763
_cell_angle_alpha 90.00
_cell_angle_beta 90.21
_cell_angle_gamma 90.00
loop_
_space_group_symop_operation_xyz
'x,y,z'
loop_
_atom_site_label
_atom_site_fract_x
_atom_site_fract_y
_atom_site_fract_z
_atom_site_occupancy
Sr1 0.248 0.000 0.249 1
Sr2 0.248 0.000 0.751 1
Sr3 0.248 0.500 0.249 1
Sr4 0.752 0.000 0.249 1
Sr5 0.752 0.000 0.751 1
Sr6 0.752 0.500 0.751 1
Ca1 0.241 0.505 0.750 1
Ca2 0.759 0.505 0.250 1
Fe1 0.000 0.252 0.500 1
Fe2 0.000 0.749 0.500 1
Fe3 0.500 0.748 0.500 1
Co1 0.000 0.255 0.000 1
Co2 0.000 0.749 0.000 1
Co3 0.500 0.251 0.500 1
Co4 0.500 0.253 0.000 1
Co5 0.500 0.748 0.000 1
O1 0.000 0.501 0.500 1
O2 0.000 0.516 0.000 1
O3 0.000 0.981 0.000 1
O4 0.000 0.999 0.500 1
O5 0.031 0.749 0.250 1
O6 0.032 0.260 0.753 1
O7 0.235 0.248 0.026 1
O8 0.250 0.740 0.954 1
O9 0.252 0.249 0.473 1
O10 0.253 0.742 0.533 1
O11 0.466 0.751 0.254 1
O12 0.474 0.256 0.772 1
O13 0.500 0.017 0.500 1
O14 0.500 0.482 0.500 1
O15 0.500 0.515 0.000 1
O16 0.500 0.984 0.000 1
O17 0.526 0.256 0.228 1
O18 0.534 0.751 0.746 1
O19 0.747 0.742 0.467 1
O20 0.748 0.249 0.527 1
O21 0.750 0.740 0.046 1
O22 0.765 0.248 0.974 1
O23 0.968 0.260 0.247 1
O24 0.969 0.749 0.750 1
```